(1)
A plane-wave DFT calculation with PBE-GGA was carried out for a geometry-optimized Sm8Er4Sc structure.

Output
ΔH_f (0 K) = 0.1827 eV/atom

a b c (Å): 7.2206 7.2207 10.2367
angles (deg): 90.00 110.65 120.00
With the nearest neighbours (Å) after each atom.
Positions (direct):
Er 0.0000 0.5000 0.0000  6 Sm 3.53-3.94, 6 Er 3.61
Er 0.5000 0.0000 0.0000  6 Sm 3.53-3.94, 6 Er 3.61
Er 0.0000 0.0000 0.0000  6 Sm 3.38, 6 Er 3.61
Er 0.5000 0.5000 0.0000  6 Sm 3.53-3.94, 6 Er 3.61
Sm 0.9543 0.7477 0.7020  1 Sc 2.94
Sm 0.9543 0.2066 0.7020  1 Sc 2.94
Sm 0.0457 0.2523 0.2980  1 Sc 2.94
Sm 0.4953 0.7477 0.7020  1 Sc 2.94
Sm 0.5714 0.7857 0.3571  9 Sm 3.66-3.75, 3 Er 3.94
Sm 0.0457 0.7934 0.2980  1 Sc 2.94
Sm 0.4286 0.2143 0.6429  9 Sm 3.66-3.75, 3 Er 3.94
Sm 0.5047 0.2523 0.2980  1 Sc 2.94
Sc 0.0000 0.5000 0.5000  6 Sm 2.94



(2)
A plane-wave DFT calculation with PBE-GGA was carried out for a geometry-optimized CaGa2Ru structure.

Output
ΔH_f (0 K) = -0.1993 eV/atom

a b c (Å): 4.6106 4.6106 4.6106
angles (deg): 60.00 60.00 60.00
With the nearest neighbours (Å) after each atom.
Positions (direct):
Ru 0.5000 0.5000 0.5000  8 Ga 2.82
Ca 0.0000 0.0000 0.0000  8 Ga 2.82
Ga 0.2500 0.2500 0.2500  4 Ca 2.82, 4 Ru 2.82
Ga 0.7500 0.7500 0.7500  4 Ru 2.82, 4 Ca 2.82



(3)
A plane-wave DFT calculation with PBE-GGA was carried out for a geometry-optimized PmAg2 structure.

Output
ΔH_f (0 K) = -0.1568 eV/atom
Distance to the lowest polymorph of the same formula = 0.113 eV per atom

a b c (Å): 5.7740 5.7740 5.7740
angles (deg): 60.00 60.00 60.00
With the nearest neighbours (Å) after each atom.
Positions (direct):
Ag 0.6250 0.1250 0.6250  6 Ag 2.89
Ag 0.6250 0.6250 0.6250  6 Ag 2.89
Ag 0.1250 0.6250 0.6250  6 Ag 2.89
Ag 0.6250 0.6250 0.1250  6 Ag 2.89
Pm 0.0000 0.0000 0.0000  12 Ag 3.39, 4 Pm 3.54
Pm 0.2500 0.2500 0.2500  12 Ag 3.39, 4 Pm 3.54



(4)
A plane-wave DFT calculation with PBE-GGA was carried out for a geometry-optimized CsZnSeBr2 structure.

Output
Formation energy (no corrections) = -4.0 eV per formula unit

a b c (Å): 5.6196 5.6196 4.9809
angles (deg): 90.00 90.00 90.00
With the nearest neighbours (Å) after each atom.
Positions (direct):
Br 0.5000 0.0000 0.0000  2 Zn 2.81
Br 0.0000 0.5000 0.0000  2 Zn 2.81
Cs 0.5000 0.5000 0.5000  8 Br 3.75, 4 Se 3.97
Se 0.0000 0.0000 0.5000  2 Zn 2.49
Zn 0.0000 0.0000 0.0000  2 Se 2.49